Density functional theory data (PBE) for a relaxed structure of Sm4Au2O9.

Calculated values
Volume: 14.07 A^3/atom
M_tot: 0.0 μB per formula unit
Raw total energy: -7.049 eV per atom

a b c (Å): 11.845 6.013 11.856
angles (deg): 90.00 90.00 90.00
Atoms (fractional coordinates):
Sm 0.988 0.258 0.910
Sm 0.658 0.801 0.236
Sm 0.488 0.242 0.090
Sm 0.158 0.301 0.264
Sm 0.842 0.301 0.236
Sm 0.342 0.199 0.764
Sm 0.512 0.242 0.410
Sm 0.988 0.742 0.410
Sm 0.012 0.742 0.090
Sm 0.512 0.758 0.910
Sm 0.842 0.699 0.736
Sm 0.658 0.199 0.736
Sm 0.158 0.699 0.764
Sm 0.488 0.758 0.590
Sm 0.012 0.258 0.590
Sm 0.342 0.801 0.264
O 0.426 0.384 0.590
O 0.662 0.436 0.150
O 0.803 0.628 0.340
O 0.114 0.437 0.445
O 0.338 0.564 0.850
O 0.886 0.437 0.055
O 0.838 0.064 0.650
O 0.303 0.872 0.660
O 0.886 0.563 0.555
O 0.114 0.563 0.945
O 0.662 0.564 0.650
O 0.074 0.116 0.090
O 0.500 0.024 0.250
O 0.386 0.063 0.945
O 0.697 0.128 0.340
O 0.614 0.063 0.555
O 0.197 0.628 0.160
O 0.197 0.372 0.660
O 0.614 0.937 0.055
O 0.303 0.128 0.160
O 0.574 0.616 0.410
O 0.803 0.372 0.840
O 0.386 0.937 0.445
O 0.426 0.616 0.090
O 0.162 0.936 0.350
O 0.162 0.064 0.850
O 0.926 0.884 0.910
O 0.000 0.524 0.250
O 0.338 0.436 0.350
O 0.926 0.116 0.410
O 0.838 0.936 0.150
O 0.500 0.976 0.750
O 0.074 0.884 0.590
O 0.000 0.476 0.750
O 0.574 0.384 0.910
O 0.697 0.872 0.840
Au 0.772 0.082 0.489
Au 0.728 0.418 0.989
Au 0.228 0.918 0.511
Au 0.272 0.582 0.011
Au 0.728 0.582 0.489
Au 0.228 0.082 0.011
Au 0.772 0.918 0.989
Au 0.272 0.418 0.511